This record from Alexandria describes a crystal of MgPd5 relaxed with PBEsol. The functional is SCAN.

Cell and atoms, written as POSCAR:
```
MgPd5
1.0
4.7777 0.0000 0.0000
-2.3888 4.1376 0.0000
0.0000 0.0000 4.4946
Mg Pd
1 5
direct
0.0000 0.0000 0.0000
0.0000 0.6620 0.5000
0.3333 0.6667 0.0000
0.3380 0.3380 0.5000
0.6620 0.0000 0.5000
0.6667 0.3333 0.0000
```

Results
- DFT formation energy (eV per atom) = -0.3255
- VASP energy (eV/atom) = -28.4664